1.
First-principles (PBE-GGA) data for a relaxed RbTaHg crystal, as listed in the Alexandria database.

a = 4.183 Å, b = 3.412 Å, c = 14.839 Å
α = 92.12°, β = 106.51°, γ = 89.99°
Fractional coordinates of all 6 atoms:
Rb 0.590 0.744 0.963
Ta 0.276 0.195 0.651
Hg 0.922 0.217 0.796
Hg 0.085 0.660 0.460
Ta 0.731 0.687 0.605
Rb 0.417 0.134 0.293

E_tot ... -0.145 hartree per atom
DOS(E_F) ... 4.39 states/eV/cell
Energy relative to the lowest polymorph listed for this composition ... 0.086 eV per atom


2.
First-principles (PBE-GGA) data for a relaxed YSc2Ni crystal, as listed in the Alexandria database.

a = 7.915 Å, b = 7.915 Å, c = 6.337 Å
α = 51.35°, β = 51.35°, γ = 90.00°
Fractional coordinates of all 8 atoms:
Sc 0.203 0.625 0.250
Ni 0.250 0.750 0.500
Sc 0.547 0.125 0.250
Sc 0.375 0.453 0.750
Sc 0.875 0.797 0.750
Y 0.000 0.000 0.000
Ni 0.500 0.500 0.000
Y 0.750 0.250 0.500

E_tot ... -0.231 hartree per atom
DOS(E_F) ... 9.96 states/eV/cell
Energy relative to the lowest polymorph listed for this composition ... 0.191 eV per atom